Entry 1:
# Tc2RhWAu | the Alexandria database | GGA-PBE | relaxed
data_Tc2RhWAu
_cell_length_a 4.832
_cell_length_b 4.832
_cell_length_c 4.796
_cell_angle_alpha 90.00
_cell_angle_beta 90.00
_cell_angle_gamma 90.00
_symmetry_space_group_name_H-M 'P 4/m m m'
_symmetry_Int_Tables_number 123
_symmetry_space_group_name_Hall '-P 4 2'
loop_
_atom_site_label
_atom_site_type_symbol
_atom_site_fract_x
_atom_site_fract_y
_atom_site_fract_z
_atom_site_occupancy
Tc1 Tc 0.000 0.500 0.000 1
Rh1 Rh 0.000 0.000 0.500 1
W1 W 0.500 0.500 0.500 1
Au1 Au 0.500 0.500 0.000 1
# Energy relative to the elements (meV per atom): 2618

***

Entry 2:
# ZnTcRhAu2 | the Alexandria database | GGA-PBE | relaxed
data_ZnTcRhAu2
_cell_length_a 5.083
_cell_length_b 5.083
_cell_length_c 4.537
_cell_angle_alpha 90.00
_cell_angle_beta 90.00
_cell_angle_gamma 90.00
_symmetry_space_group_name_H-M 'P 4/m m m'
_symmetry_Int_Tables_number 123
_symmetry_space_group_name_Hall '-P 4 2'
loop_
_atom_site_label
_atom_site_type_symbol
_atom_site_fract_x
_atom_site_fract_y
_atom_site_fract_z
_atom_site_occupancy
Zn1 Zn 0.000 0.000 0.000 1
Tc1 Tc 0.500 0.500 0.000 1
Rh1 Rh 0.500 0.500 0.500 1
Au1 Au 0.000 0.500 0.500 1
# Energy relative to the elements (meV per atom): 1143

***

Entry 3:
# ZrTcRh2Au | the Alexandria database | GGA-PBE | relaxed
data_ZrTcRh2Au
_cell_length_a 4.731
_cell_length_b 4.731
_cell_length_c 5.158
_cell_angle_alpha 90.00
_cell_angle_beta 90.00
_cell_angle_gamma 90.00
_symmetry_space_group_name_H-M 'P 4/m m m'
_symmetry_Int_Tables_number 123
_symmetry_space_group_name_Hall '-P 4 2'
loop_
_atom_site_label
_atom_site_type_symbol
_atom_site_fract_x
_atom_site_fract_y
_atom_site_fract_z
_atom_site_occupancy
Zr1 Zr 0.000 0.000 0.000 1
Tc1 Tc 0.500 0.500 0.500 1
Rh1 Rh 0.000 0.500 0.000 1
Au1 Au 0.000 0.000 0.500 1
# Energy relative to the elements (meV per atom): 1270

***

Entry 4:
# Te2RhAu | the Alexandria database | GGA-PBE | relaxed
data_Te2RhAu
_cell_length_a 6.225
_cell_length_b 7.445
_cell_length_c 3.619
_cell_angle_alpha 90.00
_cell_angle_beta 90.00
_cell_angle_gamma 90.00
_symmetry_space_group_name_H-M 'C m m m'
_symmetry_Int_Tables_number 65
_symmetry_space_group_name_Hall '-C 2 2'
loop_
_atom_site_label
_atom_site_type_symbol
_atom_site_fract_x
_atom_site_fract_y
_atom_site_fract_z
_atom_site_occupancy
Te1 Te 0.250 0.250 0.000 1
Rh1 Rh 0.000 0.000 0.500 1
Au1 Au 0.000 0.500 0.500 1
# Excess energy over the best structure of this formula in the dataset (eV per atom): 0.465
# Energy relative to the elements, uncorrected (kJ/mol of atoms): 22